Here is crystalline MnTeI2O at its relaxed geometry from the Alexandria database. Energies are from GGA-PBEsol.

Geometry as POSCAR:
```
MnTeI2O
1.0
5.083 0.000 0.000
0.000 5.341 0.000
0.000 0.000 5.341
I Mn O Te
2 1 1 1
Direct
0.000 0.500 0.000
0.000 0.000 0.500
0.000 0.000 0.000
0.500 0.500 0.500
0.500 0.000 0.000
```

The value obtained for the formation energy (no corrections) is 0.70 eV/atom. As for the crystal system: tetragonal. The total moment comes out at 5.22 Bohr magnetons per cell.